The following is a PBE calculation of a relaxed Li4ThPb2 crystal, from the Alexandria database.

```
Li4ThPb2
1.0
8.156 0.000 0.000
0.000 8.156 0.000
0.000 0.000 4.712
Li Th Pb
8 2 4
Direct
0.104 0.350 0.000
0.150 0.604 0.500
0.350 0.104 0.000
0.396 0.850 0.500
0.604 0.150 0.500
0.650 0.896 0.000
0.850 0.396 0.500
0.896 0.650 0.000
0.000 0.000 0.500
0.500 0.500 0.000
0.209 0.791 0.000
0.291 0.291 0.500
0.709 0.709 0.500
0.791 0.209 0.000
```

ΔH_f (0 K), meV/atom: -313

The following is a PBE calculation of a relaxed Ce3CdGa crystal, from the Alexandria database.

```
Ce3CdGa
1.0
8.196 0.000 0.000
0.000 3.381 0.000
-2.342 0.000 9.041
Ce Cd Ga
6 2 2
Direct
0.008 0.250 0.177
0.311 0.250 0.828
0.427 0.250 0.375
0.573 0.750 0.625
0.689 0.750 0.172
0.992 0.750 0.823
0.150 0.750 0.508
0.850 0.250 0.492
0.293 0.750 0.100
0.707 0.250 0.900
```

ΔH_f (0 K), meV/atom: -213

The following is a PBE calculation of a relaxed Sr2AlGa3 crystal, from the Alexandria database.

```
Sr2AlGa3
1.0
0.000 4.805 7.590
4.389 0.000 7.590
4.389 4.805 0.000
Sr Al Ga
4 2 6
Direct
0.247 0.753 0.247
0.250 0.250 0.250
0.750 0.750 0.750
0.753 0.247 0.753
0.333 0.333 0.667
0.667 0.667 0.333
0.166 0.166 0.834
0.166 0.668 0.834
0.332 0.834 0.668
0.668 0.166 0.332
0.834 0.332 0.166
0.834 0.834 0.166
```

ΔH_f (0 K), meV/atom: -441

The following is a PBE calculation of a relaxed TbPm2I crystal, from the Alexandria database.

```
TbPm2I
1.0
3.692 0.000 0.000
0.000 3.692 0.000
0.000 0.000 9.693
Tb Pm I
1 2 1
Direct
0.000 0.000 0.000
0.500 0.500 0.258
0.500 0.500 0.742
0.000 0.000 0.500
```

E_form (uncorrected), eV/atom: -0.335

The following is a PBE calculation of a relaxed AlAsN3 crystal, from the Alexandria database.

```
AlAsN3
1.0
3.778 0.000 0.000
0.000 3.778 0.000
0.000 0.000 3.778
Al As N
1 1 3
Direct
0.000 0.000 0.000
0.500 0.500 0.500
0.000 0.000 0.500
0.000 0.500 0.000
0.500 0.000 0.000
```

E_form (uncorrected), eV/atom: 1.156

The following is a PBE calculation of a relaxed Li3CuSb3S8 crystal, from the Alexandria database.

```
Li3CuSb3S8
1.0
6.503 -3.755 0.000
6.503 3.755 0.000
-4.340 0.000 6.246
Li Cu Sb S
3 1 3 8
Direct
0.000 0.000 0.000
0.000 0.500 0.000
0.500 0.000 0.000
0.000 0.000 0.500
0.000 0.500 0.500
0.500 0.000 0.500
0.500 0.500 0.500
0.227 0.768 0.263
0.231 0.231 0.736
0.232 0.773 0.737
0.246 0.246 0.239
0.754 0.754 0.761
0.768 0.227 0.263
0.769 0.769 0.264
0.773 0.232 0.737
```

E_form (uncorrected), eV/atom: -0.448

The following is a PBE calculation of a relaxed ZrZnRe2 crystal, from the Alexandria database.

```
ZrZnRe2
1.0
-1.933 1.933 4.423
1.933 -1.933 4.423
1.933 1.933 -4.423
Zr Zn Re
1 1 2
Direct
0.000 0.000 0.000
0.500 0.500 0.000
0.250 0.750 0.500
0.750 0.250 0.500
```

ΔH_f (0 K), meV/atom: 182

The following is a PBE calculation of a relaxed CsHg2Pb2 crystal, from the Alexandria database.

```
CsHg2Pb2
1.0
-2.734 2.734 6.062
2.734 -2.734 6.062
2.734 2.734 -6.062
Cs Hg Pb
1 2 2
Direct
0.000 0.000 0.000
0.250 0.750 0.500
0.750 0.250 0.500
0.371 0.371 0.000
0.629 0.629 0.000
```

ΔH_f (0 K), meV/atom: -107

The total magnetization results, record by record, are as follows: 0.00; 1.58; 0.00; 0.00; 1.88; 1.18; 0.00; 0.00 μB/f.u..
The E results, record by record, are as follows: -3.53; -4.56; -3.14; -4.26; -5.52; -4.13; -8.50; -1.88 eV/atom.